PBE-GGA Pm3GePt8, relaxed; crystal system = trigonal; space group = R3m; V = 19.6 A^3/atom; ΔE_f = -89 kJ/mol of atoms
1.0
-1.850 1.094 -5.058
1.132 -3.431 -4.142
-7.753 -5.376 -1.312
Pm Ge Pt
3 1 8
direct
0.620 0.620 0.141 Pm
0.012 0.012 0.963 Pm
0.487 0.487 0.538 Pm
0.155 0.155 0.535 Ge
0.560 0.054 0.826 Pt
0.058 0.570 0.315 Pt
0.560 0.560 0.826 Pt
0.058 0.058 0.315 Pt
0.808 0.808 0.577 Pt
0.310 0.310 0.070 Pt
0.054 0.560 0.826 Pt
0.570 0.058 0.315 Pt